Below is a relaxed structure of CrSbI2O, with properties calculated at the GGA+U level.

Results
- Energy relative to the lowest polymorph listed for this composition: 127 meV/atom
- D(E_F): 0.81 states/eV per cell
- Size of the total moment: 5.0 μB per formula unit
- Energy: -20.5 eV/cell

Cell: 6.1430 6.1430 4.1084 Å, 90.00 90.00 90.00°
Each line ends with the local moment (μB).
Fractional coordinates of all 5 atoms:
I 0.0000 0.5000 0.0000  -0.02
I 0.5000 0.0000 0.0000  -0.02
Sb 0.0000 0.0000 0.0000  0.00
O 0.0000 0.0000 0.5000  0.00
Cr 0.5000 0.5000 0.5000  4.60